(1)
{"formula": "LiHf2MnW", "functional": "PBE", "state": "optimized geometry", "energy_ev_per_atom": -7.16, "e_form_ev_per_atom": 1.6304, "crystal_system": "tetragonal", "m_tot_mub_per_atom": 0.036, "cell": [[4.946, 0.000, 0.000], [0.000, 4.946, 0.000], [0.000, 0.000, 4.626]], "species": ["Li", "Hf", "Hf", "Mn", "W"], "frac_coords": [[0.000, 0.000, 0.000], [0.000, 0.500, 0.500], [0.500, 0.000, 0.500], [0.500, 0.500, 0.000], [0.000, 0.000, 0.500]]}

***

(2)
{"formula": "RbYClF2", "functional": "PBE", "state": "optimized geometry", "energy_ev_per_atom": -5.25, "formation_energy_uncorrected_ev_per_atom": -2.6464, "crystal_system": "tetragonal", "m_tot_mub_per_atom": 0.156, "cell": [[4.598, 0.000, 0.000], [0.000, 4.598, 0.000], [0.000, 0.000, 5.590]], "species": ["Rb", "Y", "Cl", "F", "F"], "frac_coords": [[0.000, 0.000, 0.000], [0.500, 0.500, 0.500], [0.500, 0.500, 0.000], [0.000, 0.500, 0.500], [0.500, 0.000, 0.500]]}

***

(3)
{"formula": "Mg2Zr2Sn", "functional": "PBE", "state": "optimized geometry", "energy_ev_per_atom": -4.74, "polymorph_energy_mev_per_atom": 31, "e_form_ev_per_atom": 0.1188, "crystal_system": "tetragonal", "m_tot_mub_per_atom": 0.000, "cell": [[7.987, 0.000, 0.000], [0.000, 7.987, 0.000], [0.000, 0.000, 3.459]], "species": ["Mg", "Mg", "Mg", "Mg", "Zr", "Zr", "Zr", "Zr", "Sn", "Sn"], "frac_coords": [[0.120, 0.380, 0.000], [0.380, 0.880, 0.000], [0.620, 0.120, 0.000], [0.880, 0.620, 0.000], [0.178, 0.678, 0.500], [0.322, 0.178, 0.500], [0.678, 0.822, 0.500], [0.822, 0.322, 0.500], [0.000, 0.000, 0.000], [0.500, 0.500, 0.000]]}

***

(4)
{"formula": "Ag5Cl", "functional": "PBE", "state": "optimized geometry", "energy_ev_per_atom": -2.63, "formation_energy_uncorrected_ev_per_atom": 0.0527, "polymorph_energy_mev_per_atom": 75, "crystal_system": "orthorhombic", "m_tot_mub_per_atom": 0.000, "cell": [[2.200, -6.436, 0.000], [2.200, 6.436, 0.000], [0.000, 0.000, 4.009]], "species": ["Ag", "Ag", "Ag", "Ag", "Ag", "Cl"], "frac_coords": [[0.000, 0.000, 0.000], [0.170, 0.830, 0.500], [0.326, 0.674, 0.000], [0.674, 0.326, 0.000], [0.830, 0.170, 0.500], [0.500, 0.500, 0.500]]}